No. 1
## CdReB3 (PBE-GGA)

Data for a relaxed structure of CdReB3.

Values from the calculation:
**Relative energy among the computed polymorphs**: 1955 meV/atom
**Formation enthalpy at 0 K**: 2.98 eV per atom
**SG**: Pm-3m
**Electronic total energy**: -3.699 eV/atom
**Magnetization**: 0.00 μB/f.u.

abc: 4.129 4.129 4.129
angles: 90.00 90.00 90.00
Sites, in units of the cell vectors:
Cd1 0.000 0.000 0.000
Re1 0.500 0.500 0.500
B1 0.000 0.000 0.500
B2 0.000 0.500 0.000
B3 0.500 0.000 0.000

No. 2
## CdRe2B (PBE-GGA)

Data for a relaxed structure of CdRe2B.

Values from the calculation:
**Relative energy among the computed polymorphs**: 109 meV/atom
**Formation enthalpy at 0 K**: 1.29 eV per atom
**SG**: Fm-3m
**Electronic total energy**: -6.835 eV/atom
**Magnetization**: 0.00 μB/f.u.

abc: 4.290 4.290 4.290
angles: 60.00 60.00 60.00
Sites, in units of the cell vectors:
Cd1 0.000 0.000 0.000
Re1 0.250 0.250 0.250
Re2 0.750 0.750 0.750
B1 0.500 0.500 0.500

No. 3
## CdRe3B (PBE-GGA)

Data for a relaxed structure of CdRe3B.

Values from the calculation:
**Relative energy among the computed polymorphs**: 3566 meV/atom
**Formation enthalpy at 0 K**: 4.12 eV per atom
**SG**: Pm-3m
**Electronic total energy**: -4.871 eV/atom
**Magnetization**: 5.16 μB/f.u.

abc: 4.846 4.846 4.846
angles: 90.00 90.00 90.00
Sites, in units of the cell vectors:
Cd1 0.000 0.000 0.000
Re1 0.000 0.000 0.500
Re2 0.000 0.500 0.000
Re3 0.500 0.000 0.000
B1 0.500 0.500 0.500

No. 4
## CdReB3 (PBE-GGA)

Data for a relaxed structure of CdReB3.

Values from the calculation:
**Relative energy among the computed polymorphs**: 0 meV/atom
**Formation enthalpy at 0 K**: 1.03 eV per atom
**SG**: Pm-3m
**Electronic total energy**: -5.654 eV/atom
**Magnetization**: 0.00 μB/f.u.

abc: 4.172 4.172 4.172
angles: 90.00 90.00 90.00
Sites, in units of the cell vectors:
Cd1 0.000 0.000 0.000
Re1 0.500 0.500 0.500
B1 0.000 0.500 0.500
B2 0.500 0.000 0.500
B3 0.500 0.500 0.000

No. 5
## CdRe2B (PBE-GGA)

Data for a relaxed structure of CdRe2B.

Values from the calculation:
**Relative energy among the computed polymorphs**: 0 meV/atom
**Formation enthalpy at 0 K**: 1.18 eV per atom
**SG**: I-42d
**Electronic total energy**: -6.944 eV/atom
**Magnetization**: 0.00 μB/f.u.

abc: 8.392 8.392 8.392
angles: 150.74 150.74 41.86
Sites, in units of the cell vectors:
Cd1 0.000 0.000 0.000
Cd2 0.750 0.250 0.500
Re1 0.240 0.625 0.115
Re2 0.375 0.490 0.615
Re3 0.510 0.125 0.885
Re4 0.875 0.760 0.385
B1 0.250 0.750 0.500
B2 0.500 0.500 0.000

No. 6
## CdRe2BSb (PBE-GGA)

Data for a relaxed structure of CdRe2BSb.

Values from the calculation:
**SG**: P4/mmm
**Uncorrected formation energy**: 0.777 eV/atom
**Electronic total energy**: -6.546 eV/atom
**Magnetization**: 0.00 μB/f.u.

abc: 4.315 4.315 4.385
angles: 90.00 90.00 90.00
Sites, in units of the cell vectors:
Cd1 0.000 0.000 0.000
Re1 0.000 0.500 0.500
Re2 0.500 0.000 0.500
B1 0.000 0.000 0.500
Sb1 0.500 0.500 0.000